[1]
The following is a DFT calculation (PBE) of a geometry-optimized BaCuTe3Pd structure.

Geometry as CIF:
```
data_BaCuTe3Pd
_chemical_formula_sum 'Ba2 Cu2 Te6 Pd2'
_cell_length_a 4.451
_cell_length_b 11.212
_cell_length_c 6.822
_cell_angle_alpha 90.00
_cell_angle_beta 107.39
_cell_angle_gamma 90.00
_symmetry_space_group_name_H-M 'P 1'
_symmetry_Int_Tables_number 1
_symmetry_space_group_name_Hall 'P 1'
loop_
_atom_site_label
_atom_site_fract_x
_atom_site_fract_y
_atom_site_fract_z
_atom_site_occupancy
Ba1 0.189 0.250 0.475 1
Ba2 0.811 0.750 0.525 1
Cu1 0.500 0.250 0.095 1
Cu2 0.500 0.750 0.905 1
Te1 0.092 0.750 0.099 1
Te2 0.404 0.530 0.733 1
Te3 0.404 0.970 0.733 1
Te4 0.596 0.030 0.267 1
Te5 0.596 0.470 0.267 1
Te6 0.908 0.250 0.901 1
Pd1 0.000 0.000 0.000 1
Pd2 0.000 0.500 0.000 1
```

[2]
The following is a DFT calculation (PBE) of a geometry-optimized Ba4ZnCuPd2 structure.

Geometry as CIF:
```
data_Ba4ZnCuPd2
_chemical_formula_sum 'Ba4 Zn1 Cu1 Pd2'
_cell_length_a 4.575
_cell_length_b 4.575
_cell_length_c 16.819
_cell_angle_alpha 90.00
_cell_angle_beta 90.00
_cell_angle_gamma 120.00
_symmetry_space_group_name_H-M 'P 1'
_symmetry_Int_Tables_number 1
_symmetry_space_group_name_Hall 'P 1'
loop_
_atom_site_label
_atom_site_fract_x
_atom_site_fract_y
_atom_site_fract_z
_atom_site_occupancy
Ba1 0.000 0.000 0.121 1
Ba2 0.000 0.000 0.879 1
Ba3 0.667 0.333 0.373 1
Ba4 0.667 0.333 0.627 1
Zn1 0.000 0.000 0.500 1
Cu1 0.667 0.333 0.000 1
Pd1 0.333 0.667 0.000 1
Pd2 0.333 0.667 0.500 1
```

[3]
The following is a DFT calculation (PBE) of a geometry-optimized BaPmCu structure.

Geometry as CIF:
```
data_BaPmCu
_chemical_formula_sum 'Ba1 Pm1 Cu1'
_cell_length_a 5.068
_cell_length_b 5.068
_cell_length_c 5.068
_cell_angle_alpha 60.00
_cell_angle_beta 60.00
_cell_angle_gamma 60.00
_symmetry_space_group_name_H-M 'P 1'
_symmetry_Int_Tables_number 1
_symmetry_space_group_name_Hall 'P 1'
loop_
_atom_site_label
_atom_site_fract_x
_atom_site_fract_y
_atom_site_fract_z
_atom_site_occupancy
Ba1 0.000 0.000 0.000 1
Pm1 0.250 0.250 0.250 1
Cu1 0.500 0.500 0.500 1
```

E above lowest polymorph   0.000 eV/atom

Number 1: electronic total energy -4.018 eV/atom. Number 2: electronic total energy -3.265 eV/atom. Number 3: electronic total energy -2.832 eV/atom.